# PBE Mo2PtCl, relaxed
# **E_form (uncorrected)**: 823 meV per atom
data_Mo2PtCl
_cell_length_a 6.391
_cell_length_b 6.391
_cell_length_c 6.391
_cell_angle_alpha 90.00
_cell_angle_beta 90.00
_cell_angle_gamma 90.00
_symmetry_space_group_name_H-M 'F -4 3 m'
_symmetry_Int_Tables_number 216
_symmetry_space_group_name_Hall 'F -4 2 3'
loop_
_atom_site_label
_atom_site_fract_x
_atom_site_fract_y
_atom_site_fract_z
Mo1 0.000 0.000 0.000
Mo2 0.250 0.250 0.250
Pt1 0.250 0.250 0.750
Cl1 0.000 0.000 0.500